No. 1
This record from the Alexandria database describes a relaxed LaSbO3 crystal. The functional is PBE-GGA.

Formation energy without anion corrections, eV per atom: -1.19
Crystal system: cubic

The structure in POSCAR format:
```
LaSbO3
1.0
4.505 0.000 0.000
0.000 4.505 0.000
0.000 0.000 4.505
La Sb O
1 1 3
direct
0.000 0.000 0.000 La
0.500 0.500 0.500 Sb
0.000 0.000 0.500 O
0.000 0.500 0.000 O
0.500 0.000 0.000 O
```

=====

No. 2
This record from the Alexandria database describes a relaxed CaMg2Ta crystal. The functional is PBE-GGA.

Crystal system: tetragonal
Calculated formation energy, meV per atom: 598.5

The structure in POSCAR format:
```
CaMg2Ta
1.0
-2.246 2.246 4.657
2.246 -2.246 4.657
2.246 2.246 -4.657
Ca Mg Ta
1 2 1
direct
0.000 0.000 0.000 Ca
0.250 0.750 0.500 Mg
0.500 0.500 0.000 Mg
0.750 0.250 0.500 Ta
```

=====

No. 3
This record from the Alexandria database describes a relaxed BaMg6B crystal. The functional is PBE-GGA.

Crystal system: orthorhombic
Energy relative to the lowest polymorph listed for this composition, eV per atom: 0.019
Calculated formation energy, meV per atom: 289.8

The structure in POSCAR format:
```
BaMg6B
1.0
4.676 0.000 0.000
0.000 2.969 7.309
0.000 -2.969 7.309
Ba Mg B
1 6 1
direct
0.000 0.000 0.000 Ba
0.000 0.498 0.979 Mg
0.000 0.979 0.498 Mg
0.500 0.138 0.605 Mg
0.500 0.170 0.170 Mg
0.500 0.601 0.601 Mg
0.500 0.605 0.138 Mg
0.000 0.365 0.365 B
```

=====

No. 4
This record from the Alexandria database describes a relaxed BeAs2SeCl crystal. The functional is PBE-GGA.

Formation energy without anion corrections, eV per atom: 1.42
Crystal system: tetragonal
Energy relative to the lowest polymorph listed for this composition, eV per atom: 0.985

The structure in POSCAR format:
```
BeAs2SeCl
1.0
4.803 0.000 0.000
0.000 4.803 0.000
0.000 0.000 5.176
Be As Se Cl
1 2 1 1
direct
0.000 0.000 0.000 Be
0.000 0.500 0.500 As
0.500 0.000 0.500 As
0.500 0.500 0.000 Se
0.500 0.500 0.500 Cl
```

=====

No. 5
This record from the Alexandria database describes a relaxed HoAlCu2Au4 crystal. The functional is PBE-GGA.

Crystal system: trigonal
Calculated formation energy, meV per atom: -388.8

The structure in POSCAR format:
```
HoAlCu2Au4
1.0
2.321 1.340 7.468
-2.321 1.340 7.468
0.000 -2.680 7.468
Ho Al Cu Au
1 1 2 4
direct
0.000 0.000 0.000 Ho
0.500 0.500 0.500 Al
0.258 0.258 0.258 Cu
0.742 0.742 0.742 Cu
0.134 0.134 0.134 Au
0.386 0.386 0.386 Au
0.614 0.614 0.614 Au
0.866 0.866 0.866 Au
```

=====

No. 6
This record from the Alexandria database describes a relaxed InHg2Sb crystal. The functional is PBE-GGA.

Formation energy without anion corrections, eV per atom: 0.10
Crystal system: trigonal

The structure in POSCAR format:
```
InHg2Sb
1.0
1.700 0.981 10.863
-1.700 0.981 10.863
0.000 -1.963 10.863
In Hg Sb
1 2 1
direct
0.000 0.000 0.000 In
0.250 0.250 0.250 Hg
0.499 0.499 0.499 Hg
0.747 0.747 0.747 Sb
```

=====

No. 7
This record from the Alexandria database describes a relaxed KAcSeO6 crystal. The functional is PBE-GGA.

Formation energy without anion corrections, eV per atom: -1.40
Crystal system: trigonal

The structure in POSCAR format:
```
KAcSeO6
1.0
5.534 0.000 0.000
-2.767 4.792 0.000
0.000 0.000 4.590
K Ac Se O
1 1 1 6
direct
0.000 0.000 0.000 K
0.333 0.667 0.567 Ac
0.667 0.333 0.273 Se
0.363 0.181 0.515 O
0.504 0.009 0.080 O
0.504 0.496 0.080 O
0.819 0.181 0.515 O
0.819 0.637 0.515 O
0.991 0.496 0.080 O
```

=====

No. 8
This record from the Alexandria database describes a relaxed AgHg2AsSe4 crystal. The functional is PBE-GGA.

Formation energy without anion corrections, eV per atom: -0.09
Crystal system: orthorhombic

The structure in POSCAR format:
```
AgHg2AsSe4
1.0
8.604 0.000 0.000
0.000 8.073 0.000
0.000 0.000 6.811
Ag Hg As Se
2 4 2 8
direct
0.000 0.137 0.000 Ag
0.500 0.863 0.500 Ag
0.240 0.339 0.513 Hg
0.260 0.661 0.013 Hg
0.740 0.661 0.013 Hg
0.760 0.339 0.513 Hg
0.000 0.824 0.497 As
0.500 0.176 0.997 As
0.000 0.163 0.390 Se
0.000 0.825 0.865 Se
0.250 0.334 0.914 Se
0.250 0.666 0.414 Se
0.500 0.175 0.365 Se
0.500 0.837 0.890 Se
0.750 0.334 0.914 Se
0.750 0.666 0.414 Se
```

=====

No. 9
This record from the Alexandria database describes a relaxed GdLuPt crystal. The functional is PBE-GGA.

Crystal system: cubic
Energy relative to the lowest polymorph listed for this composition, eV per atom: 0.000
Calculated formation energy, meV per atom: -877.6

The structure in POSCAR format:
```
GdLuPt
1.0
0.000 3.420 3.420
3.420 0.000 3.420
3.420 3.420 0.000
Gd Lu Pt
1 1 1
direct
0.000 0.000 0.000 Gd
0.500 0.500 0.500 Lu
0.250 0.250 0.250 Pt
```

=====

No. 10
This record from the Alexandria database describes a relaxed VTeP3 crystal. The functional is PBE-GGA.

Formation energy without anion corrections, eV per atom: 0.38
Crystal system: cubic
Energy relative to the lowest polymorph listed for this composition, eV per atom: 0.000

The structure in POSCAR format:
```
VTeP3
1.0
4.604 0.000 0.000
0.000 4.604 0.000
0.000 0.000 4.604
V Te P
1 1 3
direct
0.000 0.000 0.000 V
0.500 0.500 0.500 Te
0.000 0.000 0.500 P
0.000 0.500 0.000 P
0.500 0.000 0.000 P
```

=====

No. 11
This record from the Alexandria database describes a relaxed CaAg2Os crystal. The functional is PBE-GGA.

Crystal system: monoclinic
Energy relative to the lowest polymorph listed for this composition, eV per atom: 0.014
Calculated formation energy, meV per atom: 453.2

The structure in POSCAR format:
```
CaAg2Os
1.0
2.759 0.000 0.000
0.000 4.964 0.000
-0.857 0.000 5.456
Ca Ag Os
1 2 1
direct
0.000 0.000 0.000 Ca
0.289 0.500 0.732 Ag
0.711 0.500 0.268 Ag
0.500 0.000 0.500 Os
```

=====

No. 12
This record from the Alexandria database describes a relaxed YZr2Os crystal. The functional is PBE-GGA.

Crystal system: tetragonal
Energy relative to the lowest polymorph listed for this composition, eV per atom: 0.084
Calculated formation energy, meV per atom: -135.2

The structure in POSCAR format:
```
YZr2Os
1.0
3.333 0.000 0.000
0.000 3.333 0.000
0.000 0.000 8.055
Y Zr Os
1 2 1
direct
0.000 0.000 0.000 Y
0.000 0.000 0.584 Zr
0.500 0.500 0.327 Zr
0.500 0.500 0.772 Os
```

=====

No. 13
This record from the Alexandria database describes a relaxed Zr2GaPd6 crystal. The functional is PBE-GGA.

Crystal system: orthorhombic
Calculated formation energy, meV per atom: -543.0

The structure in POSCAR format:
```
Zr2GaPd6
1.0
3.646 -6.922 0.000
3.646 6.922 0.000
0.000 0.000 3.095
Zr Ga Pd
2 1 6
direct
0.185 0.815 0.000 Zr
0.815 0.185 0.000 Zr
0.500 0.500 0.500 Ga
0.154 0.470 0.500 Pd
0.194 0.194 0.000 Pd
0.470 0.154 0.500 Pd
0.530 0.846 0.500 Pd
0.806 0.806 0.000 Pd
0.846 0.530 0.500 Pd
```

=====

No. 14
This record from the Alexandria database describes a relaxed Ca4Pu3NbN8 crystal. The functional is PBE-GGA.

Formation energy without anion corrections, eV per atom: -1.19
Crystal system: trigonal

The structure in POSCAR format:
```
Ca4Pu3NbN8
1.0
3.425 1.977 5.626
-3.425 1.977 5.626
0.000 -3.955 5.626
Ca Pu Nb N
4 3 1 8
direct
0.000 0.000 0.000 Ca
0.000 0.500 0.500 Ca
0.500 0.000 0.500 Ca
0.500 0.500 0.000 Ca
0.000 0.000 0.500 Pu
0.000 0.500 0.000 Pu
0.500 0.000 0.000 Pu
0.500 0.500 0.500 Nb
0.238 0.238 0.238 N
0.252 0.730 0.730 N
0.270 0.270 0.748 N
0.270 0.748 0.270 N
0.730 0.252 0.730 N
0.730 0.730 0.252 N
0.748 0.270 0.270 N
0.762 0.762 0.762 N
```

=====

No. 15
This record from the Alexandria database describes a relaxed TaCrAg2 crystal. The functional is PBE-GGA.

Crystal system: cubic
Energy relative to the lowest polymorph listed for this composition, eV per atom: 0.562
Calculated formation energy, meV per atom: 870.8

The structure in POSCAR format:
```
TaCrAg2
1.0
0.000 3.210 3.210
3.210 0.000 3.210
3.210 3.210 0.000
Ta Cr Ag
1 1 2
direct
0.000 0.000 0.000 Ta
0.500 0.500 0.500 Cr
0.250 0.250 0.250 Ag
0.750 0.750 0.750 Ag
```

=====

No. 16
This record from the Alexandria database describes a relaxed DyPa3Ir4 crystal. The functional is PBE-GGA.

Crystal system: monoclinic
Calculated formation energy, meV per atom: -929.1

The structure in POSCAR format:
```
DyPa3Ir4
1.0
5.820 -4.146 0.000
5.820 4.146 0.000
-1.171 0.000 3.584
Dy Pa Ir
1 3 4
direct
0.000 0.000 0.000 Dy
0.473 0.977 0.720 Pa
0.501 0.501 0.003 Pa
0.977 0.473 0.720 Pa
0.225 0.696 0.464 Ir
0.262 0.262 0.254 Ir
0.696 0.225 0.464 Ir
0.761 0.761 0.257 Ir
```

=====

No. 17
This record from the Alexandria database describes a relaxed La2BeCdOs crystal. The functional is PBE-GGA.

Crystal system: tetragonal
Calculated formation energy, meV per atom: -22.5

The structure in POSCAR format:
```
La2BeCdOs
1.0
5.545 0.000 0.000
0.000 5.545 0.000
0.000 0.000 4.474
La Be Cd Os
2 1 1 1
direct
0.000 0.500 0.000 La
0.500 0.000 0.000 La
0.000 0.000 0.500 Be
0.500 0.500 0.500 Cd
0.000 0.000 0.000 Os
```

=====

No. 18
This record from the Alexandria database describes a relaxed TbLuCoNi crystal. The functional is PBE-GGA.

Crystal system: cubic
Calculated formation energy, meV per atom: -298.4

The structure in POSCAR format:
```
TbLuCoNi
1.0
0.000 3.324 3.324
3.324 0.000 3.324
3.324 3.324 0.000
Tb Lu Co Ni
1 1 1 1
direct
0.000 0.000 0.000 Tb
0.500 0.500 0.500 Lu
0.750 0.750 0.750 Co
0.250 0.250 0.250 Ni
```

=====

No. 19
This record from the Alexandria database describes a relaxed GeSOF2 crystal. The functional is PBE-GGA.

Formation energy without anion corrections, eV per atom: -0.40
Crystal system: tetragonal
Energy relative to the lowest polymorph listed for this composition, eV per atom: 0.309

The structure in POSCAR format:
```
GeSOF2
1.0
4.750 0.000 0.000
0.000 4.750 0.000
0.000 0.000 3.377
Ge S O F
1 1 1 2
direct
0.000 0.000 0.000 Ge
0.500 0.500 0.500 S
0.500 0.500 0.000 O
0.000 0.500 0.500 F
0.500 0.000 0.500 F
```

=====

No. 20
This record from the Alexandria database describes a relaxed YCdMo3 crystal. The functional is PBE-GGA.

Crystal system: cubic
Energy relative to the lowest polymorph listed for this composition, eV per atom: 0.000
Calculated formation energy, meV per atom: 2003.9

The structure in POSCAR format:
```
YCdMo3
1.0
4.937 0.000 0.000
0.000 4.937 0.000
0.000 0.000 4.937
Y Cd Mo
1 1 3
direct
0.000 0.000 0.000 Y
0.500 0.500 0.500 Cd
0.000 0.500 0.500 Mo
0.500 0.000 0.500 Mo
0.500 0.500 0.000 Mo
```